(1)
The following is a meta-GGA SCAN calculation of OsRuPt at its PBEsol-relaxed geometry, from Alexandria via LeMat-Bulk.

Computed properties:
**Energy relative to the lowest polymorph listed for this composition**: 0.0 kJ/mol of atoms
**Symmetry**: I4mm
**Magnetization**: 0.0 μB per cell
**N(E_F)**: 2.13 states/eV/cell

Unit cell a=2.704 b=2.704 c=6.087 alpha=102.83 beta=102.83 gamma=90.00
Fractional coordinates of all 3 atoms:
Ru1 0.341 0.341 0.683
Os1 0.992 0.992 0.985
Pt1 0.666 0.666 0.332

***

(2)
The following is a meta-GGA SCAN calculation of YFe2TcPb at its PBEsol-relaxed geometry, from Alexandria via LeMat-Bulk.

Computed properties:
**Uncorrected energy**: -34.35 eV/atom
**Symmetry**: P4/mmm
**Magnetization**: 4.7 μB per cell
**N(E_F)**: 3.71 states/eV/cell

Unit cell a=4.501 b=4.501 c=5.130 alpha=90.00 beta=90.00 gamma=90.00
Each line ends with the local moment (μB).
Fractional coordinates of all 5 atoms:
Pb1 0.000 0.000 0.500  0.03
Y1 0.500 0.500 0.500  -0.15
Tc1 0.000 0.000 0.000  -0.61
Fe1 0.000 0.500 0.000  2.69
Fe2 0.500 0.000 0.000  2.69